# Zr3As PBE-GGA optimized geometry
data_Zr3As
_space_group_name_H-M_alt 'P 1'
_space_group_IT_number 1
_space_group_name_Hall 'P 1'
_cell_length_a 5.083
_cell_length_b 5.083
_cell_length_c 5.083
_cell_angle_alpha 90.00
_cell_angle_beta 90.00
_cell_angle_gamma 90.00
loop_
_atom_site_label
_atom_site_type_symbol
_atom_site_fract_x
_atom_site_fract_y
_atom_site_fract_z
As1 As 0.000 0.000 0.000
Zr1 Zr 0.500 0.000 0.000
Zr2 Zr 0.000 0.500 0.000
Zr3 Zr 0.000 0.000 0.500
# * formation energy from the elements: 2.910 eV/f.u.
# * spin magnetization: 0.0000 μB per atom

---

# SmEu2Pb PBE-GGA optimized geometry
data_SmEu2Pb
_space_group_name_H-M_alt 'P 1'
_space_group_IT_number 1
_space_group_name_Hall 'P 1'
_cell_length_a 4.371
_cell_length_b 4.371
_cell_length_c 7.066
_cell_angle_alpha 90.00
_cell_angle_beta 90.00
_cell_angle_gamma 90.00
loop_
_atom_site_label
_atom_site_type_symbol
_atom_site_fract_x
_atom_site_fract_y
_atom_site_fract_z
Eu1 Eu 0.000 0.000 0.231
Eu2 Eu 0.000 0.000 0.769
Pb1 Pb 0.500 0.500 0.000
Sm1 Sm 0.500 0.500 0.500
# * formation energy from the elements: -0.742 eV/f.u.
# * energy above the most stable polymorph in this dataset: 121 meV per atom
# * spin magnetization: 3.6347 μB per atom

---

# GaSn6Rh12 PBE-GGA optimized geometry
data_GaSn6Rh12
_space_group_name_H-M_alt 'P 1'
_space_group_IT_number 1
_space_group_name_Hall 'P 1'
_cell_length_a 7.304
_cell_length_b 7.304
_cell_length_c 7.304
_cell_angle_alpha 102.43
_cell_angle_beta 102.43
_cell_angle_gamma 102.43
loop_
_atom_site_label
_atom_site_type_symbol
_atom_site_fract_x
_atom_site_fract_y
_atom_site_fract_z
Rh1 Rh 0.718 0.995 0.155
Rh2 Rh 0.380 0.834 0.519
Rh3 Rh 0.620 0.166 0.481
Rh4 Rh 0.155 0.718 0.995
Rh5 Rh 0.519 0.380 0.834
Rh6 Rh 0.845 0.282 0.005
Rh7 Rh 0.005 0.845 0.282
Rh8 Rh 0.166 0.481 0.620
Rh9 Rh 0.282 0.005 0.845
Rh10 Rh 0.995 0.155 0.718
Rh11 Rh 0.481 0.620 0.166
Rh12 Rh 0.834 0.519 0.380
Sn1 Sn 0.507 0.264 0.158
Sn2 Sn 0.493 0.736 0.842
Sn3 Sn 0.736 0.842 0.493
Sn4 Sn 0.842 0.493 0.736
Sn5 Sn 0.158 0.507 0.264
Sn6 Sn 0.264 0.158 0.507
Ga1 Ga 0.000 0.000 0.000
# * formation energy from the elements: -1.852 eV/f.u.
# * spin magnetization: 0.0001 μB per atom

---

# Ac2AgPbSe5 PBE-GGA optimized geometry
data_Ac2AgPbSe5
_space_group_name_H-M_alt 'P 1'
_space_group_IT_number 1
_space_group_name_Hall 'P 1'
_cell_length_a 4.480
_cell_length_b 9.594
_cell_length_c 12.537
_cell_angle_alpha 90.00
_cell_angle_beta 90.00
_cell_angle_gamma 103.50
loop_
_atom_site_label
_atom_site_type_symbol
_atom_site_fract_x
_atom_site_fract_y
_atom_site_fract_z
Se1 Se 0.303 0.606 0.653
Se2 Se 0.967 0.935 0.581
Se3 Se 0.630 0.259 0.487
Se4 Se 0.493 0.985 0.273
Se5 Se 0.697 0.394 0.153
Se6 Se 0.299 0.598 0.320
Se7 Se 0.701 0.402 0.820
Se8 Se 0.507 0.015 0.773
Se9 Se 0.033 0.065 0.081
Se10 Se 0.370 0.741 0.987
Ac1 Ac 0.124 0.249 0.677
Ac2 Ac 0.122 0.244 0.299
Ac3 Ac 0.876 0.751 0.177
Ac4 Ac 0.878 0.756 0.799
Pb1 Pb 0.413 0.827 0.472
Pb2 Pb 0.587 0.173 0.972
Ag1 Ag 0.758 0.517 0.561
Ag2 Ag 0.242 0.483 0.061
# * E: -4.770 eV/atom
# * spin magnetization: 0.0000 μB per atom

---

Q: The highest spin magnetization belongs to which entry?
A: SmEu2Pb